(1)
# Ac2Mg3AlGe4 (PBE, relaxed)
# - Spin magnetization: 0.000 μB/f.u.
# - V: 237.2 Å³/f.u.
# - E_tot: -3.938 eV per atom
# - Formation enthalpy at 0 K: -40 kJ per mole of atoms
data_Ac2Mg3AlGe4
_chemical_formula_sum 'Ac2 Mg3 Al1 Ge4'
_space_group_name_H-M_alt 'P -4 m 2'
_space_group_IT_number 115
_space_group_name_Hall 'P -4 -2'
_cell_length_a 4.800
_cell_length_b 4.800
_cell_length_c 10.295
_cell_angle_alpha 90.00
_cell_angle_beta 90.00
_cell_angle_gamma 90.00
loop_
_atom_site_label
_atom_site_fract_x
_atom_site_fract_y
_atom_site_fract_z
Ac1 0.000 0.500 0.239
Mg1 0.000 0.500 0.882
Mg2 0.500 0.500 0.500
Al1 0.000 0.000 0.500
Ge1 0.000 0.000 0.000
Ge2 0.000 0.500 0.624
Ge3 0.500 0.500 0.000


(2)
# AcMgAlGe2 (PBE, relaxed)
# - Spin magnetization: 0.000 μB/f.u.
# - V: 124.1 Å³/f.u.
# - E_tot: -4.161 eV per atom
# - Formation enthalpy at 0 K: -41 kJ per mole of atoms
data_AcMgAlGe2
_chemical_formula_sum 'Ac4 Mg4 Al4 Ge8'
_space_group_name_H-M_alt 'C 1 2/m 1'
_space_group_IT_number 12
_space_group_name_Hall '-C 2y'
_cell_length_a 13.293
_cell_length_b 4.375
_cell_length_c 10.299
_cell_angle_alpha 90.00
_cell_angle_beta 123.99
_cell_angle_gamma 90.00
loop_
_atom_site_label
_atom_site_fract_x
_atom_site_fract_y
_atom_site_fract_z
Ac1 0.194 0.000 0.152
Mg1 0.139 0.500 0.418
Al1 0.046 0.000 0.717
Ge1 0.068 0.500 0.874
Ge2 0.155 0.000 0.576


(3)
# Ac3MgAl2Ge6 (PBE, relaxed)
# - Spin magnetization: 0.000 μB/f.u.
# - V: 307.6 Å³/f.u.
# - E_tot: -4.510 eV per atom
# - Formation enthalpy at 0 K: -40 kJ per mole of atoms
data_Ac3MgAl2Ge6
_chemical_formula_sum 'Ac3 Mg1 Al2 Ge6'
_space_group_name_H-M_alt 'P -3 m 1'
_space_group_IT_number 164
_space_group_name_Hall '-P 3 2"'
_cell_length_a 6.4092
_cell_length_b 6.4092
_cell_length_c 8.6459
_cell_angle_alpha 90.00
_cell_angle_beta 90.00
_cell_angle_gamma 120.00
loop_
_atom_site_label
_atom_site_fract_x
_atom_site_fract_y
_atom_site_fract_z
Ac1 0.0000 0.0000 0.0000
Ac2 0.3333 0.6667 0.6357
Mg1 0.0000 0.0000 0.5000
Al1 0.3333 0.6667 0.0334
Ge1 0.1966 0.3931 0.2858


(4)
# AcMnAlGe2 (PBE, relaxed)
# - Spin magnetization: 3.498 μB/f.u.
# - V: 105.4 Å³/f.u.
# - E_tot: -5.679 eV per atom
# - Formation enthalpy at 0 K: -41 kJ per mole of atoms
data_AcMnAlGe2
_chemical_formula_sum 'Ac2 Mn2 Al2 Ge4'
_space_group_name_H-M_alt 'I -4 m 2'
_space_group_IT_number 119
_space_group_name_Hall 'I -4 -2'
_cell_length_a 4.187
_cell_length_b 4.187
_cell_length_c 12.029
_cell_angle_alpha 90.00
_cell_angle_beta 90.00
_cell_angle_gamma 90.00
loop_
_atom_site_label
_atom_site_fract_x
_atom_site_fract_y
_atom_site_fract_z
Ac1 0.000 0.000 0.000
Mn1 0.000 0.500 0.750
Al1 0.000 0.500 0.250
Ge1 0.000 0.000 0.377


(5)
# AcNdAl2Ge2 (PBE, relaxed)
# - Spin magnetization: 0.000 μB/f.u.
# - V: 145.0 Å³/f.u.
# - E_tot: -4.901 eV per atom
# - Formation enthalpy at 0 K: -61 kJ per mole of atoms
data_AcNdAl2Ge2
_chemical_formula_sum 'Ac1 Nd1 Al2 Ge2'
_space_group_name_H-M_alt 'P -3 m 1'
_space_group_IT_number 164
_space_group_name_Hall '-P 3 2"'
_cell_length_a 4.3204
_cell_length_b 4.3204
_cell_length_c 8.9686
_cell_angle_alpha 90.00
_cell_angle_beta 90.00
_cell_angle_gamma 120.00
loop_
_atom_site_label
_atom_site_fract_x
_atom_site_fract_y
_atom_site_fract_z
Ac1 0.0000 0.0000 0.0000
Nd1 0.0000 0.0000 0.5000
Al1 0.3333 0.6667 0.7471
Ge1 0.3333 0.6667 0.2752


(6)
# Ac2Nd2AlGe4 (PBE, relaxed)
# - Spin magnetization: 0.000 μB/f.u.
# - V: 243.3 Å³/f.u.
# - E_tot: -4.797 eV per atom
# - Formation enthalpy at 0 K: -34 kJ per mole of atoms
data_Ac2Nd2AlGe4
_chemical_formula_sum 'Ac4 Nd4 Al2 Ge8'
_space_group_name_H-M_alt 'I 4/m m m'
_space_group_IT_number 139
_space_group_name_Hall '-I 4 2'
_cell_length_a 7.325
_cell_length_b 7.325
_cell_length_c 9.070
_cell_angle_alpha 90.00
_cell_angle_beta 90.00
_cell_angle_gamma 90.00
loop_
_atom_site_label
_atom_site_fract_x
_atom_site_fract_y
_atom_site_fract_z
Ac1 0.000 0.500 0.250
Nd1 0.000 0.000 0.182
Al1 0.000 0.000 0.500
Ge1 0.246 0.246 0.500